Material: CeAlCr2O6
Method: DFT, GGA+U
State: relaxed

Density = 5.338 g/cm³
Energy = -7.928 eV per atom

Cell lengths 5.2731, 5.2038, 5.7147 Å; angles 62.75, 60.90, 60.46 degrees
Last column: nearest neighbours and their distance in Å.
Sites, in units of the cell vectors:
Ce 0.8049 0.8002 0.6023  4 O 2.18-2.37
Al 0.3212 0.3204 0.0407  6 O 1.91-2.05
Cr 0.5218 0.5207 0.4266  5 O 2.04-2.20
Cr 0.0081 0.0094 0.9722  6 O 1.98-2.07
O 0.5953 0.2410 0.2233  1 Al 1.96, 2 Cr 2.04-2.05
O 0.2182 0.9542 0.2261  1 Al 1.91, 1 Cr 2.07
O 0.9396 0.5979 0.2276  1 Al 1.93, 2 Cr 2.06-2.08
O 0.3735 0.7129 0.7586  1 Al 1.99, 2 Cr 2.02-2.18, 1 Ce 2.20
O 0.7194 0.1378 0.7806  1 Al 1.95, 1 Cr 1.98, 1 Ce 2.18
O 0.1596 0.3671 0.7572  2 Cr 2.01-2.11, 1 Al 2.05, 1 Ce 2.23